# 1
Density functional theory data (PBE) for a relaxed structure of RbMnFe2Cl8.

a = 6.391 Å, b = 6.391 Å, c = 9.565 Å
α = 95.52°, β = 95.52°, γ = 68.64°
Fractional coordinates of all 12 atoms:
Rb 0.000 0.000 0.000
Mn 0.000 0.000 0.500
Fe 0.383 0.383 0.705
Fe 0.617 0.617 0.295
Cl 0.233 0.741 0.303
Cl 0.240 0.240 0.510
Cl 0.259 0.767 0.697
Cl 0.311 0.311 0.913
Cl 0.689 0.689 0.087
Cl 0.741 0.233 0.303
Cl 0.760 0.760 0.490
Cl 0.767 0.259 0.697

Output
- DFT total energy: -4.52 eV per atom
- Mass density: 2.46 g/cm3
- E_form (uncorrected): -1.0380 eV/atom
- N(E_F): 0.737 states/eV/atom
- Symmetry: C2/m (12)
- V: 361.4 Å³/cell



# 2
Density functional theory data (PBE) for a relaxed structure of La6POs2Cl3.

a = 7.310 Å, b = 7.310 Å, c = 7.845 Å
α = 99.12°, β = 99.12°, γ = 119.88°
Fractional coordinates of all 12 atoms:
La 0.086 0.433 0.791
La 0.222 0.222 0.208
La 0.433 0.086 0.791
La 0.567 0.914 0.209
La 0.778 0.778 0.792
La 0.914 0.567 0.209
P 0.500 0.500 0.000
Os 0.167 0.833 0.000
Os 0.833 0.167 0.000
Cl 0.000 0.000 0.500
Cl 0.337 0.663 0.500
Cl 0.663 0.337 0.500

Output
- DFT total energy: -6.43 eV per atom
- Mass density: 6.51 g/cm3
- E_form (uncorrected): -1.1846 eV/atom
- N(E_F): 0.941 states/eV/atom
- Symmetry: C2/m (12)
- V: 344.8 Å³/cell



# 3
Density functional theory data (PBE) for a relaxed structure of SmCuAg.

a = 6.346 Å, b = 5.473 Å, c = 7.794 Å
α = 90.00°, β = 111.66°, γ = 90.00°
Fractional coordinates of all 12 atoms:
Sm 0.193 0.117 0.375
Sm 0.193 0.383 0.875
Sm 0.807 0.617 0.125
Sm 0.807 0.883 0.625
Cu 0.170 0.622 0.517
Cu 0.170 0.878 0.017
Cu 0.830 0.122 0.983
Cu 0.830 0.378 0.483
Ag 0.411 0.594 0.296
Ag 0.411 0.906 0.796
Ag 0.589 0.094 0.204
Ag 0.589 0.406 0.704

Output
- DFT total energy: -4.13 eV per atom
- Mass density: 8.50 g/cm3
- N(E_F): 0.617 states/eV/atom
- Symmetry: P2_1/c (14)
- V: 251.5 Å³/cell



# 4
Density functional theory data (PBE) for a relaxed structure of Tb3Pm2Se6.

a = 7.126 Å, b = 7.126 Å, c = 7.149 Å
α = 99.61°, β = 99.61°, γ = 119.76°
Fractional coordinates of all 11 atoms:
Tb 0.000 0.000 0.000
Tb 0.335 0.665 0.000
Tb 0.665 0.335 0.000
Pm 0.165 0.835 0.500
Pm 0.835 0.165 0.500
Se 0.087 0.415 0.245
Se 0.258 0.258 0.751
Se 0.415 0.087 0.245
Se 0.585 0.913 0.755
Se 0.742 0.742 0.249
Se 0.913 0.585 0.755

Output
- DFT total energy: -5.91 eV per atom
- Mass density: 6.93 g/cm3
- E_form (uncorrected): -1.8854 eV/atom
- N(E_F): 0.406 states/eV/atom
- Symmetry: C2/m (12)
- V: 297.2 Å³/cell



# 5
Density functional theory data (PBE) for a relaxed structure of Mn2MoP.

a = 8.049 Å, b = 8.049 Å, c = 8.049 Å
α = 19.43°, β = 19.43°, γ = 19.43°
Fractional coordinates of all 4 atoms:
Mn 0.000 0.000 0.000
Mn 0.253 0.253 0.253
Mo 0.758 0.758 0.758
P 0.514 0.514 0.514

Output
- DFT total energy: -8.51 eV per atom
- Mass density: 7.79 g/cm3
- N(E_F): 1.237 states/eV/atom
- Symmetry: R3m (160)
- V: 50.5 Å³/cell



# 6
Density functional theory data (PBE) for a relaxed structure of NbSn3N.

a = 5.394 Å, b = 5.394 Å, c = 5.394 Å
α = 90.00°, β = 90.00°, γ = 90.00°
Fractional coordinates of all 5 atoms:
Nb 0.000 0.000 0.000
Sn 0.000 0.000 0.500
Sn 0.000 0.500 0.000
Sn 0.500 0.000 0.000
N 0.500 0.500 0.500

Output
- DFT total energy: -4.86 eV per atom
- Mass density: 4.90 g/cm3
- E_form (uncorrected): 1.2226 eV/atom
- N(E_F): 0.511 states/eV/atom
- Symmetry: Pm-3m (221)
- V: 156.9 Å³/cell